Entry from Alexandria via LeMat-Bulk: an optimized crystal structure of ZrSn2F8 (PBE).

Results
Calculated density = 4.0 g/cm³
Uncorrected energy = -5.795 eV per atom
Formation energy (no corrections) = -2.929 eV per atom
Energy relative to the lowest polymorph listed for this composition = 0 meV per atom

Cell: 5.2978 7.2642 7.2642 Å, 64.17 59.52 59.52°
Fractional positions:
Sn 0.9978 0.6485 0.6485
Sn 0.0022 0.3515 0.3515
Zr 0.0000 0.0000 0.0000
F 0.0076 0.3047 0.9250
F 0.9924 0.0750 0.6953
F 0.4794 0.8671 0.8671
F 0.5206 0.1329 0.1329
F 0.0076 0.9250 0.3047
F 0.9924 0.6953 0.0750
F 0.6926 0.5864 0.5864
F 0.3074 0.4136 0.4136

Entry from Alexandria via LeMat-Bulk: an optimized crystal structure of La2SmDy7 (PBE).

Results
Calculated density = 7.9 g/cm³
Uncorrected energy = -4.654 eV per atom
Energy relative to the lowest polymorph listed for this composition = 0 meV per atom

Cell: 6.2113 8.0641 11.4056 Å, 135.19 123.32 58.75°
Fractional positions:
La 0.5012 0.9008 0.6019
La 0.4988 0.0992 0.3981
Sm 0.0000 0.0000 0.0000
Dy 0.9987 0.5980 0.3976
Dy 0.0013 0.4020 0.6024
Dy 0.5002 0.7019 0.8033
Dy 0.4998 0.2981 0.1967
Dy 0.0000 0.7979 0.1974
Dy 0.0000 0.2021 0.8026
Dy 0.5000 0.5000 0.0000

Entry from Alexandria via LeMat-Bulk: an optimized crystal structure of AlAs2Br (PBE).

Results
Calculated density = 4.7 g/cm³
Uncorrected energy = -3.619 eV per atom
Formation energy (no corrections) = 0.060 eV per atom
Energy relative to the lowest polymorph listed for this composition = 283 meV per atom

Cell: 3.3412 3.3412 8.1565 Å, 90.00 90.00 90.00°
Fractional positions:
As 0.0000 0.0000 0.9110
As 0.0000 0.0000 0.5890
Al 0.5000 0.5000 0.7500
Br 0.5000 0.5000 0.2500

Entry from Alexandria via LeMat-Bulk: an optimized crystal structure of MgPa2Zn16 (PBE).

Results
Calculated density = 8.2 g/cm³
Uncorrected energy = -2.269 eV per atom

Cell: 6.8256 6.8256 6.8256 Å, 82.57 82.57 82.57°
Fractional positions:
Mg 0.9054 0.9054 0.9054
Pa 0.6586 0.6586 0.6586
Pa 0.3406 0.3406 0.3406
Zn 0.7012 0.9994 0.2971
Zn 0.9994 0.2971 0.7012
Zn 0.2971 0.7012 0.9994
Zn 0.9994 0.7012 0.2971
Zn 0.7012 0.2971 0.9994
Zn 0.2971 0.9994 0.7012
Zn 0.3542 0.8371 0.3542
Zn 0.8371 0.3542 0.3542
Zn 0.3542 0.3542 0.8371
Zn 0.6449 0.1567 0.6449
Zn 0.1567 0.6449 0.6449
Zn 0.6449 0.6449 0.1567
Zn 0.9998 0.4969 0.9998
Zn 0.4969 0.9998 0.9998
Zn 0.9998 0.9998 0.4969
Zn 0.1113 0.1113 0.1113